6
Lattice="5.6643 0.0000 0.0000 2.8321 4.9054 0.0000 2.8321 1.6351 4.6248" Properties=species:S:1:pos:R:3 comment="PBE-GGA NaPrAl4, optimized geometry" dft_energy_ev_per_atom=-3.73 mass_density_g_cm3=3.5 pbc="T T T"
Na 2.8321 1.6351 1.1562
Al 5.6643 1.6263 2.8936
Pr 0.0000 0.0000 0.0000
Al 5.6643 3.2703 0.5688
Al 7.0880 4.0922 2.8936
Al 4.2406 4.0922 2.8936